1.
DFT (PBE-GGA) results for a relaxed Li3YCd4 crystal. Values from VASP.

Output
- mass density (g/cm³) = 5.5
- calculated total energy (hartree per atom) = -0.0817

The structure in Quantum ESPRESSO input format:
```
&SYSTEM
  ibrav = 0, nat = 8, ntyp = 3
/
ATOMIC_SPECIES
Cd 112.41 Cd.upf
Li 6.94 Li.upf
Y 88.91 Y.upf
CELL_PARAMETERS angstrom
-1.540 4.327 -1.489
-1.763 0.530 -4.464
-8.715 -0.127 0.815
ATOMIC_POSITIONS crystal
Cd 0.390 0.390 0.831
Cd 0.128 0.128 0.615
Li 0.247 0.247 0.259
Cd 0.610 0.610 0.169
Li 0.753 0.753 0.741
Li 0.500 0.500 0.500
Cd 0.872 0.872 0.385
Y 0.000 0.000 0.000
```

***

2.
DFT (PBE-GGA) results for a relaxed Ba2SrAg crystal. Values from VASP.

Output
- mass density (g/cm³) = 4.3
- calculated total energy (hartree per atom) = -0.0790

The structure in Quantum ESPRESSO input format:
```
&SYSTEM
  ibrav = 0, nat = 4, ntyp = 3
/
ATOMIC_SPECIES
Ba 137.33 Ba.upf
Sr 87.62 Sr.upf
Ag 107.87 Ag.upf
CELL_PARAMETERS angstrom
7.615 -0.011 -0.008
3.654 6.682 0.008
-4.883 -4.605 3.598
ATOMIC_POSITIONS crystal
Ba 0.053 0.053 0.000
Sr 0.750 0.250 0.500
Ba 0.447 0.447 0.000
Ag 0.250 0.750 0.500
```

***

3.
DFT (PBE-GGA) results for a relaxed YTa2As crystal. Values from VASP.

Output
- mass density (g/cm³) = 10.9
- calculated total energy (hartree per atom) = -0.3191

The structure in Quantum ESPRESSO input format:
```
&SYSTEM
  ibrav = 0, nat = 4, ntyp = 3
/
ATOMIC_SPECIES
Ta 180.95 Ta.upf
As 74.92 As.upf
Y 88.91 Y.upf
CELL_PARAMETERS angstrom
5.714 -0.004 0.000
2.702 5.035 0.000
-3.736 -3.306 2.787
ATOMIC_POSITIONS crystal
Ta 0.985 0.985 0.000
Ta 0.515 0.515 0.000
As 0.750 0.250 0.500
Y 0.250 0.750 0.500
```

***

4.
DFT (PBE-GGA) results for a relaxed TlHg4Se5 crystal. Values from VASP.

Output
- mass density (g/cm³) = 7.3
- E_form (uncorrected) (eV/atom) = -0.1923
- calculated total energy (hartree per atom) = -0.0842

The structure in Quantum ESPRESSO input format:
```
&SYSTEM
  ibrav = 0, nat = 10, ntyp = 3
/
ATOMIC_SPECIES
Se 78.96 Se.upf
Hg 200.59 Hg.upf
Tl 204.38 Tl.upf
CELL_PARAMETERS angstrom
4.440 0.000 0.543
2.187 3.864 0.543
-0.028 -0.016 18.641
ATOMIC_POSITIONS crystal
Se 0.800 0.800 0.600
Hg 0.353 0.353 0.941
Hg 0.751 0.751 0.747
Se 0.003 0.003 0.991
Se 0.596 0.596 0.211
Hg 0.547 0.547 0.359
Tl 0.951 0.951 0.147
Se 0.402 0.402 0.795
Hg 0.149 0.149 0.553
Se 0.198 0.198 0.406
```